--- i ---
A relaxed structure of UGe2Bi. Source: Alexandria via LeMat-Bulk, functional PBE.

## Properties
N(E_F) (states/eV/atom): 1.509
Magnetization (μB per formula unit): 0.00
Space-group type: R-3m (166)

The structure in extended XYZ format:
```
4
Lattice="4.028 0.000 0.000 2.014 3.488 0.000 2.014 1.163 8.728" Properties=species:S:1:pos:R:3 pbc="T T T"
Ge 2.014 1.163 5.925
Ge 6.042 3.488 2.802
U 4.028 2.326 4.364
Bi 0.000 0.000 0.000
```

--- ii ---
A relaxed structure of UGe2Bi. Source: Alexandria via LeMat-Bulk, functional PBE.

## Properties
N(E_F) (states/eV/atom): 1.494
Magnetization (μB per formula unit): 1.49
Space-group type: P4/mmm (123)

The structure in extended XYZ format:
```
4
Lattice="-0.528 -4.065 -0.392 1.834 -0.644 4.209 -4.216 0.365 1.893" Properties=species:S:1:pos:R:3 pbc="T T T"
Ge -2.108 0.182 0.947
Ge 0.917 -0.322 2.104
U -0.264 -2.033 -0.196
Bi -1.455 -2.172 2.855
```

Name the most stable of them. ii.

--- i ---
A relaxed structure of UGeBi. Source: Alexandria via LeMat-Bulk, functional PBE.

## Properties
N(E_F) (states/eV/atom): 1.861
Magnetization (μB per formula unit): 2.70
Space-group type: Cmcm (63)

The structure in extended XYZ format:
```
6
Lattice="4.149 0.000 0.000 0.000 4.566 0.000 0.000 2.283 7.896" Properties=species:S:1:pos:R:3 pbc="T T T"
U 1.037 4.566 1.350
U 3.112 2.283 6.546
Bi 1.037 2.283 3.902
Bi 3.112 4.566 3.994
Ge 1.037 4.566 7.035
Ge 3.112 2.283 0.861
```

--- ii ---
A relaxed structure of UGeBi. Source: Alexandria via LeMat-Bulk, functional PBE.

## Properties
N(E_F) (states/eV/atom): 2.560
Magnetization (μB per formula unit): 2.52
Space-group type: P-6m2 (187)

The structure in extended XYZ format:
```
3
Lattice="-0.124 -3.337 -2.277 0.336 -2.709 3.951 -4.315 1.296 -1.664" Properties=species:S:1:pos:R:3 pbc="T T T"
Ge -0.021 -0.557 -0.380
U -2.785 -0.594 -0.171
Bi -1.297 -3.598 0.562
```

Name the most stable of them. i.

--- i ---
A relaxed structure of V3GeBi. Source: Alexandria via LeMat-Bulk, functional PBE.

## Properties
N(E_F) (states/eV/atom): 1.828
Magnetization (μB per formula unit): 7.68
Space-group type: Pm-3m (221)

The structure in extended XYZ format:
```
5
Lattice="-2.142 3.056 2.934 -3.485 0.598 -3.168 -2.409 -3.583 1.974" Properties=species:S:1:pos:R:3 pbc="T T T"
Ge 0.000 0.000 0.000
Bi -4.018 0.036 0.870
V -1.742 0.299 -1.584
V -1.205 -1.791 0.987
V -1.071 1.528 1.467
```

--- ii ---
A relaxed structure of V3GeBi. Source: Alexandria via LeMat-Bulk, functional PBE.

## Properties
N(E_F) (states/eV/atom): 2.040
Magnetization (μB per formula unit): 8.24
Space-group type: Pm-3m (221)

The structure in extended XYZ format:
```
5
Lattice="5.124 0.000 0.000 0.000 5.124 0.000 0.000 0.000 5.124" Properties=species:S:1:pos:R:3 pbc="T T T"
Ge 2.562 2.562 2.562
Bi 0.000 0.000 0.000
V 0.000 2.562 0.000
V 0.000 0.000 2.562
V 2.562 0.000 0.000
```

Name the most stable of them. i.

--- i ---
A relaxed structure of V2GeBi. Source: Alexandria via LeMat-Bulk, functional PBE.

## Properties
N(E_F) (states/eV/atom): 1.165
Magnetization (μB per formula unit): 0.00
Space-group type: I-42d (122)

The structure in extended XYZ format:
```
8
Lattice="4.221 0.000 0.000 0.000 4.221 0.000 2.111 2.111 9.087" Properties=species:S:1:pos:R:3 pbc="T T T"
Ge 2.111 2.111 0.000
Ge 2.111 4.221 4.543
Bi 0.000 0.000 0.000
Bi 4.221 2.111 4.543
V 2.651 1.055 2.272
V 1.570 3.166 2.272
V 3.166 3.681 6.815
V 5.277 4.762 6.815
```

--- ii ---
A relaxed structure of V2GeBi. Source: Alexandria via LeMat-Bulk, functional PBE.

## Properties
N(E_F) (states/eV/atom): 0.761
Magnetization (μB per formula unit): 0.00
Space-group type: Fm-3m (225)

The structure in extended XYZ format:
```
4
Lattice="0.000 3.245 3.245 3.245 0.000 3.245 3.245 3.245 0.000" Properties=species:S:1:pos:R:3 pbc="T T T"
Ge 0.000 0.000 0.000
Bi 3.245 3.245 3.245
V 1.622 1.622 1.622
V 4.867 4.867 4.867
```

Name the most stable of them. ii.

--- i ---
A relaxed structure of GeBiW3. Source: Alexandria via LeMat-Bulk, functional PBE.

## Properties
N(E_F) (states/eV/atom): 1.377
Magnetization (μB per formula unit): 0.00
Space-group type: Pm-3m (221)

The structure in extended XYZ format:
```
5
Lattice="-0.489 -0.589 -4.987 1.145 -4.892 0.466 -4.889 -1.087 0.608" Properties=species:S:1:pos:R:3 pbc="T T T"
Ge -2.116 -3.284 -1.957
Bi 0.000 0.000 0.000
W 0.573 -2.446 0.233
W -2.445 -0.544 0.304
W -0.245 -0.295 -2.493
```

--- ii ---
A relaxed structure of GeBiW3. Source: Alexandria via LeMat-Bulk, functional PBE.

## Properties
N(E_F) (states/eV/atom): 1.218
Magnetization (μB per formula unit): 0.00
Space-group type: Pm-3m (221)

The structure in extended XYZ format:
```
5
Lattice="-2.931 2.105 -3.026 -0.451 -4.042 -2.374 -3.659 -1.187 2.717" Properties=species:S:1:pos:R:3 pbc="T T T"
Ge 0.000 0.000 0.000
Bi -3.520 -1.562 -1.342
W -0.226 -2.021 -1.187
W -1.829 -0.594 1.359
W -1.465 1.052 -1.513
```

Name the most stable of them. ii.

--- i ---
A relaxed structure of YGeBi3. Source: Alexandria via LeMat-Bulk, functional PBE.

## Properties
N(E_F) (states/eV/atom): 0.807
Magnetization (μB per formula unit): 0.00
Space-group type: Pm-3m (221)

The structure in extended XYZ format:
```
5
Lattice="-1.896 -2.360 -5.011 3.956 -4.283 0.520 -3.876 -3.218 2.982" Properties=species:S:1:pos:R:3 pbc="T T T"
Y 0.000 0.000 0.000
Ge -0.908 -4.931 -0.754
Bi 1.978 -2.142 0.260
Bi -1.938 -1.609 1.491
Bi -0.948 -1.180 -2.506
```

--- ii ---
A relaxed structure of YGeBi3. Source: Alexandria via LeMat-Bulk, functional PBE.

## Properties
N(E_F) (states/eV/atom): 1.106
Magnetization (μB per formula unit): 0.00
Space-group type: Pm-3m (221)

The structure in extended XYZ format:
```
5
Lattice="5.506 0.000 0.000 0.000 5.506 0.000 0.000 0.000 5.506" Properties=species:S:1:pos:R:3 pbc="T T T"
Y 2.753 2.753 2.753
Ge 0.000 0.000 0.000
Bi 0.000 2.753 0.000
Bi 0.000 0.000 2.753
Bi 2.753 0.000 0.000
```

Name the most stable of them. ii.

--- i ---
A relaxed structure of YGe2Bi2. Source: Alexandria via LeMat-Bulk, functional PBE.

## Properties
N(E_F) (states/eV/atom): 0.570
Magnetization (μB per formula unit): 0.00
Space-group type: I4/mmm (139)

The structure in extended XYZ format:
```
5
Lattice="-2.862 0.208 -3.350 1.894 -3.535 -1.837 -5.008 -5.959 1.006" Properties=species:S:1:pos:R:3 pbc="T T T"
Y 0.000 0.000 0.000
Ge -1.247 -2.388 -1.987
Ge -4.729 -6.898 -2.195
Bi -4.177 -3.708 -2.469
Bi -1.799 -5.579 -1.713
```

--- ii ---
A relaxed structure of YGe2Bi2. Source: Alexandria via LeMat-Bulk, functional PBE.

## Properties
N(E_F) (states/eV/atom): 0.483
Magnetization (μB per formula unit): 0.00
Space-group type: P4/mbm (127)

The structure in extended XYZ format:
```
10
Lattice="-1.866 4.741 5.699 -0.238 -5.912 4.840 4.327 0.586 0.929" Properties=species:S:1:pos:R:3 pbc="T T T"
Y 0.000 0.000 0.000
Y -1.052 -0.586 5.270
Ge -0.912 -3.398 6.393
Ge -1.785 0.474 8.014
Ge -1.192 2.226 4.146
Ge -0.319 -1.646 2.526
Bi 1.659 -2.878 4.816
Bi 0.694 -1.297 8.312
Bi 0.564 2.292 6.653
Bi 1.529 0.711 3.157
```

--- iii ---
A relaxed structure of YGe2Bi2. Source: Alexandria via LeMat-Bulk, functional PBE.

## Properties
N(E_F) (states/eV/atom): 0.621
Magnetization (μB per formula unit): 0.00
Space-group type: I4/mmm (139)

The structure in extended XYZ format:
```
5
Lattice="3.971 0.000 0.000 0.000 3.971 0.000 1.986 1.986 8.720" Properties=species:S:1:pos:R:3 pbc="T T T"
Y 0.000 0.000 0.000
Ge 3.971 1.986 4.360
Ge 1.986 3.971 4.360
Bi 1.986 1.986 1.719
Bi 3.971 3.971 7.001
```

Name the most stable of them. ii.

--- i ---
A relaxed structure of Zn2GeBi. Source: Alexandria via LeMat-Bulk, functional PBE.

## Properties
N(E_F) (states/eV/atom): 0.453
Magnetization (μB per formula unit): 0.00
Space-group type: Fm-3m (225)

The structure in extended XYZ format:
```
4
Lattice="0.000 3.494 3.494 3.494 0.000 3.494 3.494 3.494 0.000" Properties=species:S:1:pos:R:3 pbc="T T T"
Zn 1.747 1.747 1.747
Zn 5.241 5.241 5.241
Ge 0.000 0.000 0.000
Bi 3.494 3.494 3.494
```

--- ii ---
A relaxed structure of Zn2GeBi. Source: Alexandria via LeMat-Bulk, functional PBE.

## Properties
N(E_F) (states/eV/atom): 0.415
Magnetization (μB per formula unit): 0.00
Space-group type: R-3m (166)

The structure in extended XYZ format:
```
4
Lattice="-2.890 -2.660 1.180 -0.086 -1.351 3.871 -4.538 3.180 3.181" Properties=species:S:1:pos:R:3 pbc="T T T"
Zn -1.675 -0.467 1.972
Zn -5.840 -0.363 6.259
Ge 0.000 0.000 0.000
Bi -3.757 -0.415 4.116
```

Name the most stable of them. ii.